# DyFe2SiO6

A relaxed structure of DyFe2SiO6 (PBE with a Hubbard U, Alexandria via LeMat-Bulk).

Results
Calculated total energy   -0.2683 hartree per atom
Symmetry   No. 1

Unit cell a=5.066 b=5.138 c=5.541 alpha=63.47 beta=64.35 gamma=61.36
Sites, in units of the cell vectors:
1 Dy 0.000 0.000 0.000
2 Fe 0.204 0.201 0.392
3 Fe 0.711 0.717 0.832
4 Si 0.513 0.522 0.445
5 O 0.158 0.782 0.631
6 O 0.326 0.563 0.203
7 O 0.408 0.175 0.642
8 O 0.576 0.881 0.190
9 O 0.748 0.428 0.654
10 O 0.885 0.330 0.207